Here is a geometry-optimized Cs2NaYSe structure from the Alexandria database. Energies are from PBE.

Output
- Raw formation energy: 0.69 eV per atom

The structure in POSCAR format:
```
Cs2NaYSe
1.0
7.022 0.000 0.000
0.000 7.022 0.000
0.000 0.000 6.263
Cs Na Y Se
2 1 1 1
Direct
0.000 0.500 0.000
0.500 0.000 0.000
0.000 0.000 0.500
0.000 0.000 0.000
0.500 0.500 0.500
```

---

Here is a geometry-optimized Cs2Na2Si structure from the Alexandria database. Energies are from PBE.

Output
- Raw formation energy: 0.25 eV per atom

The structure in POSCAR format:
```
Cs2Na2Si
1.0
8.192 0.000 0.000
0.000 8.192 0.000
0.000 0.000 6.613
Cs Na Si
4 4 2
Direct
0.187 0.313 0.000
0.313 0.813 0.000
0.687 0.187 0.000
0.813 0.687 0.000
0.182 0.682 0.500
0.318 0.182 0.500
0.682 0.818 0.500
0.818 0.318 0.500
0.000 0.000 0.500
0.500 0.500 0.500
```

---

Here is a geometry-optimized Cs2Na4Si structure from the Alexandria database. Energies are from PBE.

Output
- Raw formation energy: 0.12 eV per atom

The structure in POSCAR format:
```
Cs2Na4Si
1.0
5.919 0.000 0.000
0.000 5.919 0.000
0.000 0.000 20.448
Cs Na Si
4 8 2
Direct
0.000 0.000 0.146
0.000 0.000 0.854
0.500 0.500 0.354
0.500 0.500 0.646
0.000 0.000 0.361
0.000 0.000 0.639
0.000 0.500 0.000
0.000 0.500 0.500
0.500 0.000 0.000
0.500 0.000 0.500
0.500 0.500 0.139
0.500 0.500 0.861
0.000 0.000 0.500
0.500 0.500 0.000
```

---

Here is a geometry-optimized Cs2Na5Si4 structure from the Alexandria database. Energies are from PBE.

Output
- Raw formation energy: 0.08 eV per atom

The structure in POSCAR format:
```
Cs2Na5Si4
1.0
6.891 -3.584 0.000
6.891 3.584 0.000
-5.284 0.000 8.022
Cs Na Si
2 5 4
Direct
0.244 0.244 0.121
0.756 0.756 0.879
0.126 0.652 0.601
0.348 0.874 0.399
0.500 0.500 0.000
0.652 0.126 0.601
0.874 0.348 0.399
0.081 0.081 0.643
0.270 0.270 0.712
0.730 0.730 0.288
0.919 0.919 0.357
```

---

Here is a geometry-optimized Cs2NaSi structure from the Alexandria database. Energies are from PBE.

Output
- Raw formation energy: 0.44 eV per atom

The structure in POSCAR format:
```
Cs2NaSi
1.0
8.880 0.000 0.000
0.000 8.880 0.000
0.000 0.000 8.880
Cs Na Si
8 4 4
Direct
0.250 0.250 0.250
0.250 0.250 0.750
0.250 0.750 0.250
0.250 0.750 0.750
0.750 0.250 0.250
0.750 0.250 0.750
0.750 0.750 0.250
0.750 0.750 0.750
0.000 0.000 0.000
0.000 0.500 0.500
0.500 0.000 0.500
0.500 0.500 0.000
0.000 0.000 0.500
0.000 0.500 0.000
0.500 0.000 0.000
0.500 0.500 0.500
```

---

Here is a geometry-optimized CsNa2Si structure from the Alexandria database. Energies are from PBE.

Output
- Raw formation energy: 0.35 eV per atom

The structure in POSCAR format:
```
CsNa2Si
1.0
6.284 0.000 0.000
0.000 6.284 0.000
0.000 0.000 19.386
Cs Na Si
4 8 4
Direct
0.000 0.000 0.000
0.000 0.500 0.250
0.500 0.000 0.750
0.500 0.500 0.500
0.007 0.250 0.625
0.250 0.507 0.875
0.250 0.993 0.375
0.493 0.250 0.125
0.507 0.750 0.125
0.750 0.007 0.375
0.750 0.493 0.875
0.993 0.750 0.625
0.000 0.000 0.500
0.000 0.500 0.750
0.500 0.000 0.250
0.500 0.500 0.000
```

---

Here is a geometry-optimized Cs7NaSi8 structure from the Alexandria database. Energies are from PBE.

Output
- Raw formation energy: -0.09 eV per atom

The structure in POSCAR format:
```
Cs7NaSi8
1.0
13.621 0.000 0.000
0.000 13.621 0.000
0.000 0.000 13.621
Cs Na Si
28 4 32
Direct
0.000 0.000 0.000
0.000 0.500 0.500
0.043 0.227 0.311
0.043 0.273 0.811
0.189 0.543 0.227
0.189 0.957 0.727
0.227 0.189 0.543
0.227 0.311 0.043
0.273 0.689 0.543
0.273 0.811 0.043
0.311 0.043 0.227
0.311 0.457 0.727
0.457 0.727 0.311
0.457 0.773 0.811
0.500 0.000 0.500
0.500 0.500 0.000
0.543 0.227 0.189
0.543 0.273 0.689
0.689 0.543 0.273
0.689 0.957 0.773
0.727 0.189 0.957
0.727 0.311 0.457
0.773 0.689 0.957
0.773 0.811 0.457
0.811 0.043 0.273
0.811 0.457 0.773
0.957 0.727 0.189
0.957 0.773 0.689
0.000 0.000 0.500
0.000 0.500 0.000
0.500 0.000 0.000
0.500 0.500 0.500
0.062 0.697 0.924
0.062 0.803 0.424
0.076 0.562 0.803
0.076 0.938 0.303
0.194 0.694 0.806
0.194 0.806 0.306
0.197 0.576 0.938
0.197 0.924 0.438
0.303 0.076 0.938
0.303 0.424 0.438
0.306 0.194 0.806
0.306 0.306 0.306
0.424 0.062 0.803
0.424 0.438 0.303
0.438 0.197 0.924
0.438 0.303 0.424
0.562 0.697 0.576
0.562 0.803 0.076
0.576 0.562 0.697
0.576 0.938 0.197
0.694 0.694 0.694
0.694 0.806 0.194
0.697 0.576 0.562
0.697 0.924 0.062
0.803 0.076 0.562
0.803 0.424 0.062
0.806 0.194 0.694
0.806 0.306 0.194
0.924 0.062 0.697
0.924 0.438 0.197
0.938 0.197 0.576
0.938 0.303 0.076
```

---

Here is a geometry-optimized CsNaSiTe3 structure from the Alexandria database. Energies are from PBE.

Output
- Raw formation energy: -0.52 eV per atom

The structure in POSCAR format:
```
CsNaSiTe3
1.0
6.667 -4.295 0.000
6.667 4.295 0.000
-3.276 0.000 8.614
Cs Na Si Te
2 2 2 6
Direct
0.157 0.157 0.227
0.843 0.843 0.773
0.305 0.695 0.500
0.695 0.305 0.500
0.478 0.478 0.114
0.522 0.522 0.886
0.133 0.628 0.137
0.354 0.354 0.647
0.372 0.867 0.863
0.628 0.133 0.137
0.646 0.646 0.353
0.867 0.372 0.863
```

---

Here is a geometry-optimized Cs2Na2SiTe4 structure from the Alexandria database. Energies are from PBE.

Output
- Raw formation energy: -0.50 eV per atom

The structure in POSCAR format:
```
Cs2Na2SiTe4
1.0
6.341 -4.361 0.000
6.341 4.361 0.000
-2.214 0.000 6.745
Cs Na Si Te
2 2 1 4
Direct
0.121 0.121 0.301
0.879 0.879 0.699
0.295 0.295 0.897
0.705 0.705 0.103
0.500 0.500 0.500
0.165 0.598 0.256
0.402 0.835 0.744
0.598 0.165 0.256
0.835 0.402 0.744
```

---

Here is a geometry-optimized CsNa2TlSi structure from the Alexandria database. Energies are from PBE.

Output
- Raw formation energy: 0.10 eV per atom

The structure in POSCAR format:
```
CsNa2TlSi
1.0
5.822 0.000 0.000
0.000 5.822 0.000
0.000 0.000 5.611
Cs Na Tl Si
1 2 1 1
Direct
0.000 0.000 0.000
0.000 0.500 0.500
0.500 0.000 0.500
0.500 0.500 0.000
0.500 0.500 0.500
```

---

Here is a geometry-optimized CsNa4Sn structure from the Alexandria database. Energies are from PBE.

Output
- Calculated total energy: -20.969 eV for the cell shown

The structure in POSCAR format:
```
CsNa4Sn
1.0
0.000 5.608 8.820
5.604 0.000 8.820
5.604 5.608 0.000
Cs Na Sn
2 8 2
Direct
0.000 0.000 0.500
0.500 0.500 0.000
0.006 0.344 0.656
0.156 0.494 0.844
0.344 0.006 0.994
0.494 0.156 0.506
0.506 0.844 0.494
0.656 0.994 0.006
0.844 0.506 0.156
0.994 0.656 0.344
0.250 0.250 0.250
0.750 0.750 0.750
```

---

Here is a geometry-optimized Cs3Na2Sn4 structure from the Alexandria database. Energies are from PBE.

Output
- Calculated total energy: -22.920 eV for the cell shown

The structure in POSCAR format:
```
Cs3Na2Sn4
1.0
6.094 0.000 0.000
0.840 7.807 0.000
2.468 0.334 8.073
Cs Na Sn
3 2 4
Direct
0.000 0.000 0.000
0.356 0.858 0.339
0.644 0.142 0.661
0.189 0.538 0.779
0.811 0.462 0.221
0.187 0.361 0.443
0.391 0.346 0.090
0.609 0.654 0.910
0.813 0.639 0.557
```